[1]
Material: Nd2ZnSn
Method: DFT, GGA-PBE
State: relaxed

**VASP energy**: -33.864 eV per cell
**Calculated volume**: 113.5 Å³/f.u.
**Crystal system**: monoclinic
**SG**: No. 11
**Fermi-level density of states**: 10.8 states/eV/cell
**Size of the total moment**: 0.00 μB/f.u.
**ΔH_f (0 K)**: -530 meV/atom

Cell lengths 4.3757, 6.2983, 8.7893 Å; angles 110.41, 90.00, 90.00 degrees
Closest atoms and distances in Å follow each position.
Sites, in units of the cell vectors:
Nd: 0.7500 0.2127 0.4138  3 Zn 3.15-3.43, 4 Sn 3.26-3.35
Nd: 0.2500 0.7873 0.5862  3 Zn 3.15-3.43, 4 Sn 3.26-3.35
Nd: 0.2500 0.7875 0.0579  4 Zn 3.13-3.40, 3 Sn 3.29-3.37
Nd: 0.7500 0.2125 0.9421  4 Zn 3.13-3.40, 3 Sn 3.29-3.37
Zn: 0.2500 0.3633 0.2136  2 Sn 2.80, 2 Nd 3.13
Zn: 0.7500 0.6367 0.7864  2 Sn 2.80, 2 Nd 3.13
Sn: 0.7500 0.6604 0.2915  2 Zn 2.80
Sn: 0.2500 0.3396 0.7085  2 Zn 2.80

[2]
Material: NdZnSn
Method: DFT, GGA-PBE
State: relaxed

**VASP energy**: -11.795 eV per cell
**Calculated volume**: 75.7 Å³/f.u.
**Crystal system**: trigonal
**SG**: No. 156
**Fermi-level density of states**: 1.4 states/eV/cell
**Size of the total moment**: 0.00 μB/f.u.
**ΔH_f (0 K)**: -583 meV/atom

Cell lengths 4.3164, 4.5009, 4.5009 Å; angles 120.00, 90.00, 90.00 degrees
Closest atoms and distances in Å follow each position.
Sites, in units of the cell vectors:
Zn: 0.1343 0.0000 0.0000  3 Sn 2.61
Nd: 0.6770 0.6667 0.3333  6 Zn 3.26-3.50, 6 Sn 3.35-3.41
Sn: 0.1887 0.3333 0.6667  3 Zn 2.61

[3]
Material: Nd2ZnSn
Method: DFT, GGA-PBE
State: relaxed

**VASP energy**: -14.628 eV per cell
**Calculated volume**: 120.0 Å³/f.u.
**Crystal system**: trigonal
**SG**: No. 166
**Fermi-level density of states**: 3.9 states/eV/cell
**Size of the total moment**: 0.00 μB/f.u.
**ΔH_f (0 K)**: 46 meV/atom

Cell lengths 3.4352, 3.4352, 11.9078 Å; angles 81.71, 81.71, 60.00 degrees
Closest atoms and distances in Å follow each position.
Sites, in units of the cell vectors:
Zn: 0.0000 0.0000 0.0000  2 Nd 3.16, 6 Zn 3.44
Nd: 0.0898 0.0898 0.7306  1 Zn 3.16, 3 Sn 3.36, 6 Nd 3.44
Nd: 0.9102 0.9102 0.2694  1 Zn 3.16, 3 Sn 3.36, 6 Nd 3.44
Sn: 0.5000 0.5000 0.5000  6 Nd 3.36, 6 Sn 3.44

[4]
Material: Nd3Zn9Sn2
Method: DFT, GGA-PBE
State: relaxed

**VASP energy**: -38.811 eV per cell
**Calculated volume**: 287.0 Å³/f.u.
**Crystal system**: orthorhombic
**SG**: No. 71
**Fermi-level density of states**: 6.9 states/eV/cell
**Size of the total moment**: 0.00 μB/f.u.
**ΔH_f (0 K)**: -360 meV/atom

Cell lengths 4.3885, 8.5211, 8.5211 Å; angles 71.79, 75.08, 75.08 degrees
Closest atoms and distances in Å follow each position.
Sites, in units of the cell vectors:
Nd: 0.0000 0.0000 0.0000  12 Zn 3.32-3.33, 4 Sn 3.61
Nd: 0.6915 0.3085 0.3085  12 Zn 3.14-3.34, 2 Sn 3.29
Nd: 0.3085 0.6915 0.6915  12 Zn 3.14-3.34, 2 Sn 3.29
Zn: 0.0000 0.5000 0.5000  4 Sn 3.05, 4 Zn 3.08, 4 Nd 3.33
Zn: 0.6655 0.9594 0.7096  4 Zn 2.50-2.62, 1 Sn 2.71
Zn: 0.3345 0.0406 0.2904  4 Zn 2.50-2.62, 1 Sn 2.71
Zn: 0.6655 0.7096 0.9594  4 Zn 2.50-2.62, 1 Sn 2.71
Zn: 0.3345 0.2904 0.0406  4 Zn 2.50-2.62, 1 Sn 2.71
Zn: 0.8470 0.8877 0.4184  3 Zn 2.61-2.62
Zn: 0.1530 0.1123 0.5816  3 Zn 2.61-2.62
Zn: 0.8470 0.4184 0.8877  3 Zn 2.61-2.62
Zn: 0.1530 0.5816 0.1123  3 Zn 2.61-2.62
Sn: 0.5000 0.2875 0.7125  6 Zn 2.71-2.98
Sn: 0.5000 0.7125 0.2875  6 Zn 2.71-2.98

[5]
Material: NdZr2Sn
Method: DFT, GGA-PBE
State: relaxed

**VASP energy**: -26.878 eV per cell
**Calculated volume**: 98.8 Å³/f.u.
**Crystal system**: tetragonal
**SG**: No. 123
**Fermi-level density of states**: 5.4 states/eV/cell
**Size of the total moment**: 0.00 μB/f.u.
**ΔH_f (0 K)**: -253 meV/atom

Cell lengths 4.5539, 4.6580, 4.6580 Å; angles 90.00, 90.00, 90.00 degrees
Closest atoms and distances in Å follow each position.
Sites, in units of the cell vectors:
Nd: 0.5000 0.5000 0.5000  8 Zr 3.26, 4 Sn 3.29
Sn: 0.5000 0.0000 0.0000  8 Zr 3.26, 4 Nd 3.29
Zr: 0.0000 0.0000 0.5000  4 Nd 3.26, 4 Sn 3.26, 4 Zr 3.29
Zr: 0.0000 0.5000 0.0000  4 Sn 3.26, 4 Nd 3.26, 4 Zr 3.29

[6]
Material: Nd5ZrSn4
Method: DFT, GGA-PBE
State: relaxed

**VASP energy**: -51.764 eV per cell
**Calculated volume**: 333.7 Å³/f.u.
**Crystal system**: monoclinic
**SG**: No. 12
**Fermi-level density of states**: 9.1 states/eV/cell
**Size of the total moment**: 0.00 μB/f.u.
**ΔH_f (0 K)**: -337 meV/atom

Cell lengths 4.0464, 8.9057, 9.8737 Å; angles 106.24, 101.82, 90.00 degrees
Closest atoms and distances in Å follow each position.
Sites, in units of the cell vectors:
Nd: 0.8309 0.6282 0.6617  3 Sn 3.13-3.18
Nd: 0.8317 0.1803 0.6633  4 Sn 3.14-3.19
Nd: 0.1683 0.8197 0.3367  4 Sn 3.14-3.19
Nd: 0.5000 0.5000 0.0000  4 Sn 3.11
Nd: 0.1691 0.3718 0.3383  3 Sn 3.13-3.18
Zr: 0.5000 0.0000 0.0000  6 Sn 2.91-3.01
Sn: 0.3376 0.9070 0.6753  1 Zr 3.01, 5 Nd 3.14-3.19
Sn: 0.9994 0.7651 0.9987  2 Zr 2.91, 4 Nd 3.11-3.16
Sn: 0.6624 0.0930 0.3247  1 Zr 3.01, 5 Nd 3.14-3.19
Sn: 0.0006 0.2349 0.0013  2 Zr 2.91, 4 Nd 3.11-3.16

[7]
Material: NdZrSn
Method: DFT, GGA-PBE
State: relaxed

**VASP energy**: -17.373 eV per cell
**Calculated volume**: 76.1 Å³/f.u.
**Crystal system**: trigonal
**SG**: No. 156
**Fermi-level density of states**: 3.5 states/eV/cell
**Size of the total moment**: 0.00 μB/f.u.
**ΔH_f (0 K)**: -18 meV/atom

Cell lengths 3.2224, 5.2208, 5.2208 Å; angles 120.00, 90.00, 90.00 degrees
Closest atoms and distances in Å follow each position.
Sites, in units of the cell vectors:
Nd: 0.1594 0.0000 0.0000  3 Zr 3.02, 2 Nd 3.22
Sn: 0.6443 0.6667 0.3333  2 Sn 3.22, 6 Zr 3.34-3.50, 6 Nd 3.40-3.44
Zr: 0.1963 0.3333 0.6667  3 Nd 3.02, 2 Zr 3.22, 3 Sn 3.34

[8]
Material: Nd3Zr2Sn3
Method: DFT, GGA-PBE
State: relaxed

**VASP energy**: -96.762 eV per cell
**Calculated volume**: 219.8 Å³/f.u.
**Crystal system**: hexagonal
**SG**: No. 193
**Fermi-level density of states**: 20.5 states/eV/cell
**Size of the total moment**: 0.00 μB/f.u.
**ΔH_f (0 K)**: -622 meV/atom

Cell lengths 6.1554, 9.0818, 9.0818 Å; angles 120.00, 90.00, 90.00 degrees
Closest atoms and distances in Å follow each position.
Sites, in units of the cell vectors:
Nd: 0.7500 0.2432 0.0000  5 Sn 3.20-3.41
Nd: 0.7500 0.7568 0.7568  5 Sn 3.20-3.41
Nd: 0.7500 0.0000 0.2432  5 Sn 3.20-3.41
Nd: 0.2500 0.7568 0.0000  5 Sn 3.20-3.41
Nd: 0.2500 0.2432 0.2432  5 Sn 3.20-3.41
Nd: 0.2500 0.0000 0.7568  5 Sn 3.20-3.41
Zr: 0.0000 0.3333 0.6667  2 Zr 3.08, 6 Sn 3.16
Zr: 0.5000 0.6667 0.3333  2 Zr 3.08, 6 Sn 3.16
Zr: 0.0000 0.6667 0.3333  2 Zr 3.08, 6 Sn 3.16
Zr: 0.5000 0.3333 0.6667  2 Zr 3.08, 6 Sn 3.16
Sn: 0.7500 0.5960 0.0000  4 Zr 3.16, 5 Nd 3.20-3.41, 2 Sn 3.54
Sn: 0.7500 0.4040 0.4040  4 Zr 3.16, 5 Nd 3.20-3.41, 2 Sn 3.54
Sn: 0.7500 0.0000 0.5960  4 Zr 3.16, 5 Nd 3.20-3.41, 2 Sn 3.54
Sn: 0.2500 0.4040 0.0000  4 Zr 3.16, 5 Nd 3.20-3.41, 2 Sn 3.54
Sn: 0.2500 0.5960 0.5960  4 Zr 3.16, 5 Nd 3.20-3.41, 2 Sn 3.54
Sn: 0.2500 0.0000 0.4040  4 Zr 3.16, 5 Nd 3.20-3.41, 2 Sn 3.54

[9]
Material: Nd2ZrSn
Method: DFT, GGA-PBE
State: relaxed

**VASP energy**: -23.309 eV per cell
**Calculated volume**: 109.6 Å³/f.u.
**Crystal system**: tetragonal
**SG**: No. 123
**Fermi-level density of states**: 3.7 states/eV/cell
**Size of the total moment**: 0.00 μB/f.u.
**ΔH_f (0 K)**: -306 meV/atom

Cell lengths 4.8139, 4.7712, 4.7712 Å; angles 90.00, 90.00, 90.00 degrees
Closest atoms and distances in Å follow each position.
Sites, in units of the cell vectors:
Nd: 0.0000 0.0000 0.5000  4 Nd 3.37, 4 Sn 3.39, 4 Zr 3.39
Nd: 0.0000 0.5000 0.0000  4 Nd 3.37, 4 Zr 3.39, 4 Sn 3.39
Sn: 0.5000 0.0000 0.0000  4 Zr 3.37, 8 Nd 3.39
Zr: 0.5000 0.5000 0.5000  4 Sn 3.37, 8 Nd 3.39

[10]
Material: SrNd5
Method: DFT, GGA-PBE
State: relaxed

**VASP energy**: -24.990 eV per cell
**Calculated volume**: 224.4 Å³/f.u.
**Crystal system**: orthorhombic
**SG**: No. 65
**Fermi-level density of states**: 9.4 states/eV/cell
**Size of the total moment**: 0.00 μB/f.u.
**ΔH_f (0 K)**: 88 meV/atom

Cell lengths 5.3256, 5.3089, 8.3701 Å; angles 108.49, 90.00, 90.00 degrees
Closest atoms and distances in Å follow each position.
Sites, in units of the cell vectors:
Sr: 0.0000 0.0000 0.0000  12 Nd 3.76-3.83
Nd: 0.0000 0.6729 0.3457  10 Nd 3.61-3.82, 2 Sr 3.82
Nd: 0.0000 0.3271 0.6543  10 Nd 3.61-3.82, 2 Sr 3.82
Nd: 0.5000 0.5000 0.0000  4 Sr 3.76, 8 Nd 3.82
Nd: 0.5000 0.1730 0.3460  10 Nd 3.61-3.82, 2 Sr 3.83
Nd: 0.5000 0.8270 0.6540  10 Nd 3.61-3.82, 2 Sr 3.83

[11]
Material: Sr3Nd
Method: DFT, GGA-PBE
State: relaxed

**VASP energy**: -8.856 eV per cell
**Calculated volume**: 193.5 Å³/f.u.
**Crystal system**: orthorhombic
**Distance to the lowest polymorph of the same formula**: 95 meV/atom
**SG**: No. 25
**Fermi-level density of states**: 6.0 states/eV/cell
**Size of the total moment**: 0.01 μB/f.u.
**ΔH_f (0 K)**: 239 meV/atom

Cell lengths 3.9329, 3.7898, 12.9830 Å; angles 90.00, 90.00, 90.00 degrees
Closest atoms and distances in Å follow each position.
Sites, in units of the cell vectors:
Sr: 0.0000 0.5000 0.4640  6 Sr 3.79-4.11
Sr: 0.5000 0.5000 0.1863  6 Sr 3.79-4.11, 4 Nd 3.95
Sr: 0.5000 0.0000 0.7164  4 Sr 3.79-3.93, 2 Nd 3.80
Nd: 0.0000 0.0000 0.9667  4 Nd 3.79-3.93, 6 Sr 3.80-3.95

[12]
Material: Sr3Nd
Method: DFT, GGA-PBE
State: relaxed

**VASP energy**: -9.108 eV per cell
**Calculated volume**: 191.2 Å³/f.u.
**Crystal system**: cubic
**Distance to the lowest polymorph of the same formula**: 32 meV/atom
**SG**: No. 221
**Fermi-level density of states**: 6.8 states/eV/cell
**Size of the total moment**: 1.04 μB/f.u.
**ΔH_f (0 K)**: 176 meV/atom

Cell lengths 5.7611, 5.7611, 5.7611 Å; angles 90.00, 90.00, 90.00 degrees
Closest atoms and distances in Å follow each position.
Sites, in units of the cell vectors:
Sr: 0.0000 0.5000 0.5000  4 Nd 4.07, 8 Sr 4.07
Sr: 0.5000 0.0000 0.5000  4 Nd 4.07, 8 Sr 4.07
Sr: 0.5000 0.5000 0.0000  4 Nd 4.07, 8 Sr 4.07
Nd: 0.0000 0.0000 0.0000  12 Sr 4.07